# 1
The following is a PBE calculation of an optimized crystal structure of K3Np3AuSe8, from Alexandria via LeMat-Bulk.

Cell: 8.4700 8.4700 9.2537 Å, 118.97 118.97 56.88°
Element x y z (fractional)
K (0.0000, 0.0000, 0.0000)
K (0.0000, 0.5000, 0.0000)
K (0.5000, 0.0000, 0.0000)
Np (0.0000, 0.5000, 0.5000)
Np (0.5000, 0.0000, 0.5000)
Np (0.5000, 0.5000, 0.5000)
Au (0.0000, 0.0000, 0.5000)
Se (0.2132, 0.7522, 0.6868)
Se (0.2478, 0.7868, 0.3132)
Se (0.2665, 0.2665, 0.2927)
Se (0.2853, 0.2853, 0.7350)
Se (0.7147, 0.7147, 0.2650)
Se (0.7335, 0.7335, 0.7073)
Se (0.7522, 0.2132, 0.6868)
Se (0.7868, 0.2478, 0.3132)

Calculated values
calculated density = 5.929 Mg/m³
formation energy without anion corrections = -1.026 eV/atom



# 2
The following is a PBE calculation of an optimized crystal structure of Ce4SbPd15, from Alexandria via LeMat-Bulk.

Cell: 4.1483 4.1483 20.5921 Å, 90.00 90.00 90.00°
Element x y z (fractional)
Ce (0.0000, 0.0000, 0.1014)
Ce (0.0000, 0.0000, 0.3042)
Ce (0.0000, 0.0000, 0.6958)
Ce (0.0000, 0.0000, 0.8986)
Sb (0.0000, 0.0000, 0.5000)
Pd (0.0000, 0.5000, 0.0000)
Pd (0.0000, 0.5000, 0.2023)
Pd (0.0000, 0.5000, 0.4035)
Pd (0.0000, 0.5000, 0.5965)
Pd (0.0000, 0.5000, 0.7977)
Pd (0.5000, 0.0000, 0.0000)
Pd (0.5000, 0.0000, 0.2023)
Pd (0.5000, 0.0000, 0.4035)
Pd (0.5000, 0.0000, 0.5965)
Pd (0.5000, 0.0000, 0.7977)
Pd (0.5000, 0.5000, 0.1012)
Pd (0.5000, 0.5000, 0.3036)
Pd (0.5000, 0.5000, 0.5000)
Pd (0.5000, 0.5000, 0.6964)
Pd (0.5000, 0.5000, 0.8988)

Calculated values
calculated density = 10.677 Mg/m³
formation energy without anion corrections = -0.725 eV/atom



# 3
The following is a PBE calculation of an optimized crystal structure of Ti4Mn3Ir, from Alexandria via LeMat-Bulk.

Cell: 3.0074 4.3144 8.4506 Å, 90.00 90.00 90.00°
Element x y z (fractional)
Ti (0.0000, 0.0000, 0.0000)
Ti (0.0000, 0.0000, 0.5000)
Ti (0.0000, 0.5000, 0.2382)
Ti (0.0000, 0.5000, 0.7618)
Mn (0.5000, 0.0000, 0.2488)
Mn (0.5000, 0.0000, 0.7512)
Mn (0.5000, 0.5000, 0.0000)
Ir (0.5000, 0.5000, 0.5000)

Calculated values
calculated density = 8.306 Mg/m³
DFT formation energy = -0.466 eV per atom



# 4
The following is a PBE calculation of an optimized crystal structure of CoRh2Se2, from Alexandria via LeMat-Bulk.

Cell: 5.1389 5.1389 5.1389 Å, 123.81 123.81 83.52°
Element x y z (fractional)
Co (0.0000, 0.0000, 0.0000)
Rh (0.3365, 0.3365, 0.0000)
Rh (0.6635, 0.6635, 0.0000)
Se (0.2500, 0.7500, 0.5000)
Se (0.7500, 0.2500, 0.5000)

Calculated values
calculated density = 7.815 Mg/m³
formation energy without anion corrections = 0.381 eV/atom